Entry 1:
# TbGePd (PBE-GGA, relaxed)
# * magnetic moment: 0.002 μB/f.u.
# * crystal system: orthorhombic
# * total DFT energy (no corrections): -17.4 eV/f.u.
data_TbGePd
_chemical_formula_sum 'Tb6 Ge6 Pd6'
_cell_length_a 11.465
_cell_length_b 11.465
_cell_length_c 11.465
_cell_angle_alpha 157.78
_cell_angle_beta 45.26
_cell_angle_gamma 141.09
_symmetry_space_group_name_H-M 'P 1'
_symmetry_Int_Tables_number 1
loop_
_symmetry_equiv_pos_as_xyz
'x,y,z'
loop_
_atom_site_label
_atom_site_fract_x
_atom_site_fract_y
_atom_site_fract_z
Tb1 0.000 0.000 0.000
Tb2 0.083 0.917 0.166
Tb3 0.326 0.994 0.333
Tb4 0.417 0.917 0.500
Tb5 0.661 0.994 0.667
Tb6 0.751 0.917 0.834
Ge1 0.202 0.297 0.906
Ge2 0.351 0.616 0.735
Ge3 0.391 0.297 0.094
Ge4 0.732 0.297 0.435
Ge5 0.862 0.297 0.565
Ge6 0.881 0.616 0.265
Pd1 0.021 0.625 0.396
Pd2 0.053 0.287 0.766
Pd3 0.229 0.625 0.604
Pd4 0.520 0.287 0.234
Pd5 0.556 0.628 0.928
Pd6 0.700 0.628 0.072

=====

Entry 2:
# CoHgPbW (PBE-GGA, relaxed)
# * magnetic moment: 2.159 μB/f.u.
# * relative energy among the computed polymorphs: 0.000 eV/atom
# * crystal system: cubic
# * total DFT energy (no corrections): -19.9 eV/f.u.
data_CoHgPbW
_chemical_formula_sum 'Co4 Hg4 Pb4 W4'
_cell_length_a 6.620
_cell_length_b 6.620
_cell_length_c 6.620
_cell_angle_alpha 90.00
_cell_angle_beta 90.00
_cell_angle_gamma 90.00
_symmetry_space_group_name_H-M 'P 1'
_symmetry_Int_Tables_number 1
loop_
_symmetry_equiv_pos_as_xyz
'x,y,z'
loop_
_atom_site_label
_atom_site_fract_x
_atom_site_fract_y
_atom_site_fract_z
Co1 0.000 0.000 0.000
Co2 0.000 0.500 0.500
Co3 0.500 0.000 0.500
Co4 0.500 0.500 0.000
Hg1 0.250 0.250 0.250
Hg2 0.250 0.750 0.750
Hg3 0.750 0.250 0.750
Hg4 0.750 0.750 0.250
Pb1 0.250 0.250 0.750
Pb2 0.250 0.750 0.250
Pb3 0.750 0.250 0.250
Pb4 0.750 0.750 0.750
W1 0.000 0.000 0.500
W2 0.000 0.500 0.000
W3 0.500 0.000 0.000
W4 0.500 0.500 0.500

=====

Entry 3:
# Li4Mg2GePt (PBE-GGA, relaxed)
# * magnetic moment: 0.001 μB/f.u.
# * crystal system: tetragonal
# * total DFT energy (no corrections): -24.8 eV/f.u.
data_Li4Mg2GePt
_chemical_formula_sum 'Li4 Mg2 Ge1 Pt1'
_cell_length_a 4.464
_cell_length_b 4.464
_cell_length_c 6.381
_cell_angle_alpha 90.00
_cell_angle_beta 90.00
_cell_angle_gamma 90.00
_symmetry_space_group_name_H-M 'P 1'
_symmetry_Int_Tables_number 1
loop_
_symmetry_equiv_pos_as_xyz
'x,y,z'
loop_
_atom_site_label
_atom_site_fract_x
_atom_site_fract_y
_atom_site_fract_z
Li1 0.000 0.000 0.000
Li2 0.000 0.500 0.247
Li3 0.500 0.000 0.753
Li4 0.500 0.500 0.500
Mg1 0.000 0.500 0.762
Mg2 0.500 0.000 0.238
Ge1 0.000 0.000 0.500
Pt1 0.500 0.500 0.000

=====

Entry 4:
# PrTlO3 (PBE-GGA, relaxed)
# * magnetic moment: 0.000 μB/f.u.
# * crystal system: trigonal
# * total DFT energy (no corrections): -31.6 eV/f.u.
data_PrTlO3
_chemical_formula_sum 'Pr2 Tl2 O6'
_cell_length_a 6.156
_cell_length_b 6.156
_cell_length_c 6.156
_cell_angle_alpha 58.04
_cell_angle_beta 58.04
_cell_angle_gamma 58.04
_symmetry_space_group_name_H-M 'P 1'
_symmetry_Int_Tables_number 1
loop_
_symmetry_equiv_pos_as_xyz
'x,y,z'
loop_
_atom_site_label
_atom_site_fract_x
_atom_site_fract_y
_atom_site_fract_z
Pr1 0.135 0.135 0.135
Pr2 0.865 0.865 0.865
Tl1 0.358 0.358 0.358
Tl2 0.642 0.642 0.642
O1 0.048 0.734 0.467
O2 0.266 0.533 0.952
O3 0.467 0.048 0.734
O4 0.533 0.952 0.266
O5 0.734 0.467 0.048
O6 0.952 0.266 0.533